DFT (PBE) results for a relaxed Rb2ErLuS4 crystal.

a = 4.0061 Å, b = 4.0061 Å, c = 15.3391 Å
α = 90.00°, β = 90.00°, γ = 120.00°
Closest atoms and distances in Å follow each position.
Element x y z (fractional)
Rb  0.3333  0.6667  0.2498  6 S 3.31-3.32
Rb  0.6667  0.3333  0.7502  6 S 3.31-3.32
Er  0.0000  0.0000  0.5000  6 S 2.74
Lu  0.0000  0.0000  0.0000  6 S 2.73
S  0.3333  0.6667  0.5962  3 Er 2.74
S  0.3333  0.6667  0.9059  3 Lu 2.73
S  0.6667  0.3333  0.0941  3 Lu 2.73
S  0.6667  0.3333  0.4038  3 Er 2.74

Computed properties:
Space group: P-3m1 (164)
Crystal system: trigonal

***

DFT (PBE) results for a relaxed Er5Lu3S crystal.

a = 8.8770 Å, b = 8.8770 Å, c = 3.6771 Å
α = 90.00°, β = 90.00°, γ = 120.00°
Closest atoms and distances in Å follow each position.
Element x y z (fractional)
Er  0.0000  0.2461  0.0000  2 S 2.86
Er  0.2461  0.0000  0.0000  2 S 2.86
Er  0.3333  0.6667  0.0000  6 Lu 3.28, 3 Er 3.41
Er  0.6667  0.3333  0.0000  6 Lu 3.28, 3 Er 3.41
Er  0.7539  0.7539  0.0000  2 S 2.86
Lu  0.0000  0.6008  0.5000  10 Er 3.28-3.65, 1 S 3.54
Lu  0.3992  0.3992  0.5000  10 Er 3.28-3.65, 1 S 3.54
Lu  0.6008  0.0000  0.5000  10 Er 3.28-3.65, 1 S 3.54
S  0.0000  0.0000  0.5000  6 Er 2.86

Computed properties:
Space group: P-62m (189)
Crystal system: hexagonal

***

DFT (PBE) results for a relaxed Er3Lu5S crystal.

a = 8.8231 Å, b = 8.8231 Å, c = 3.6673 Å
α = 90.00°, β = 90.00°, γ = 120.00°
Closest atoms and distances in Å follow each position.
Element x y z (fractional)
Er  0.0000  0.6027  0.0000  10 Lu 3.27-3.64, 1 S 3.51
Er  0.3973  0.3973  0.0000  10 Lu 3.27-3.64, 1 S 3.51
Er  0.6027  0.0000  0.0000  10 Lu 3.27-3.64, 1 S 3.51
Lu  0.0000  0.2468  0.5000  2 S 2.85
Lu  0.2468  0.0000  0.5000  2 S 2.85
Lu  0.3333  0.6667  0.5000  6 Er 3.27, 3 Lu 3.39
Lu  0.6667  0.3333  0.5000  6 Er 3.27, 3 Lu 3.39
Lu  0.7532  0.7532  0.5000  2 S 2.85
S  0.0000  0.0000  0.0000  6 Lu 2.85

Computed properties:
Space group: P-62m (189)
Crystal system: hexagonal

***

What did we get for DFT total energy? Answer: -0.1943, -0.1793, -0.1786 hartree per atom, in the order shown.